1.
Entry from the Alexandria database: a crystal of Cs3NaRe relaxed with PBEsol (SCAN).

a = 6.668 Å, b = 6.668 Å, c = 6.668 Å
α = 90.00°, β = 90.00°, γ = 90.00°
Space group Pm-3m (No. 221)
Symmetry-distinct sites (fractional):
Cs 0.000 0.000 0.500 [3 per cell]
Na 0.500 0.500 0.500 [1 per cell]
Re 0.000 0.000 0.000 [1 per cell]

Properties
**Total energy**: -36.4777 eV/atom
**Energy of formation**: 1.271 eV/atom
**Total magnetic moment**: 3.00 μB/f.u.

2.
Entry from the Alexandria database: a crystal of Ba2ZnNi relaxed with PBEsol (SCAN).

a = 12.777 Å, b = 4.501 Å, c = 4.405 Å
α = 90.00°, β = 90.08°, γ = 90.00°
Space group Cm (No. 8)
Symmetry-distinct sites (fractional):
Ba 0.000 0.000 0.000 [2 per cell]
Ba 0.228 0.500 0.500 [2 per cell]
Zn 0.413 0.000 0.499 [2 per cell]
Ni 0.331 0.000 0.999 [2 per cell]

Properties
**Total energy**: -27.2290 eV/atom
**Energy of formation**: -0.032 eV/atom
**Total magnetic moment**: 0.00 μB/f.u.

3.
Entry from the Alexandria database: a crystal of BaCa2TlPd relaxed with PBEsol (SCAN).

a = 5.497 Å, b = 5.497 Å, c = 5.370 Å
α = 90.00°, β = 90.00°, γ = 90.00°
Space group P4/mmm (No. 123)
Symmetry-distinct sites (fractional):
Ba 0.000 0.000 0.000 [1 per cell]
Ca 0.000 0.500 0.500 [2 per cell]
Tl 0.500 0.500 0.000 [1 per cell]
Pd 0.500 0.500 0.500 [1 per cell]

Properties
**Total energy**: -33.2182 eV/atom
**Energy of formation**: -0.416 eV/atom
**Total magnetic moment**: 0.00 μB/f.u.

4.
Entry from the Alexandria database: a crystal of YAlMo2 relaxed with PBEsol (SCAN).

a = 3.442 Å, b = 3.442 Å, c = 6.287 Å
α = 90.00°, β = 90.00°, γ = 90.00°
Space group P4/mmm (No. 123)
Symmetry-distinct sites (fractional):
Y 0.000 0.000 0.000 [1 per cell]
Al 0.000 0.000 0.500 [1 per cell]
Mo 0.500 0.500 0.318 [2 per cell]

Properties
**Total energy**: -26.3399 eV/atom
**Energy of formation**: 0.001 eV/atom
**Total magnetic moment**: 0.00 μB/f.u.

5.
Entry from the Alexandria database: a crystal of Hf2ZnCl relaxed with PBEsol (SCAN).

a = 6.539 Å, b = 6.539 Å, c = 6.539 Å
α = 90.00°, β = 90.00°, γ = 90.00°
Space group Fm-3m (No. 225)
Symmetry-distinct sites (fractional):
Hf 0.250 0.250 0.250 [8 per cell]
Zn 0.000 0.000 0.000 [4 per cell]
Cl 0.000 0.000 0.500 [4 per cell]

Properties
**Total energy**: -36.7989 eV/atom
**E_form (uncorrected)**: -0.09 eV per atom
**Total magnetic moment**: 0.00 μB/f.u.

6.
Entry from the Alexandria database: a crystal of HgRhAu4 relaxed with PBEsol (SCAN).

a = 7.562 Å, b = 7.562 Å, c = 7.562 Å
α = 90.00°, β = 90.00°, γ = 90.00°
Space group F-43m (No. 216)
Symmetry-distinct sites (fractional):
Hg 0.000 0.000 0.000 [4 per cell]
Rh 0.250 0.250 0.250 [4 per cell]
Au 0.125 0.125 0.625 [16 per cell]

Properties
**Total energy**: -62.7468 eV/atom
**Energy of formation**: 0.347 eV/atom
**Total magnetic moment**: 0.00 μB/f.u.